Model 1:
# Mg3Sb2 | the Alexandria database | GGA-PBEsol | relaxed
# magnetic moment: 0.00 Bohr magnetons per cell
data_Mg3Sb2
_chemical_formula_sum 'Mg48 Sb32'
_symmetry_space_group_name_H-M 'I a -3'
_symmetry_Int_Tables_number 206
_symmetry_space_group_name_Hall '-I 2b 2c 3'
_cell_length_a 13.293
_cell_length_b 13.293
_cell_length_c 13.293
_cell_angle_alpha 90.00
_cell_angle_beta 90.00
_cell_angle_gamma 90.00
loop_
_atom_site_label
_atom_site_type_symbol
_atom_site_fract_x
_atom_site_fract_y
_atom_site_fract_z
Mg1 Mg 0.110 0.133 0.628
Sb1 Sb 0.000 0.000 0.000
Sb2 Sb 0.000 0.250 0.266

***

Model 2:
# Mg3Sb2 | the Alexandria database | GGA-PBEsol | relaxed
# magnetic moment: 0.00 Bohr magnetons per cell
data_Mg3Sb2
_chemical_formula_sum 'Mg3 Sb2'
_symmetry_space_group_name_H-M 'P -3 m 1'
_symmetry_Int_Tables_number 164
_symmetry_space_group_name_Hall '-P 3 2"'
_cell_length_a 4.5570
_cell_length_b 4.5570
_cell_length_c 7.1924
_cell_angle_alpha 90.00
_cell_angle_beta 90.00
_cell_angle_gamma 120.00
loop_
_atom_site_label
_atom_site_type_symbol
_atom_site_fract_x
_atom_site_fract_y
_atom_site_fract_z
Mg1 Mg 0.0000 0.0000 0.0000
Mg2 Mg 0.3333 0.6667 0.3675
Sb1 Sb 0.3333 0.6667 0.7761

***

Most stable = model 2

***

Model 1:
# MgSi2Sb | the Alexandria database | GGA-PBEsol | relaxed
# magnetic moment: 0.00 Bohr magnetons per cell
data_MgSi2Sb
_chemical_formula_sum 'Mg4 Si8 Sb4'
_symmetry_space_group_name_H-M 'I -4 2 d'
_symmetry_Int_Tables_number 122
_symmetry_space_group_name_Hall 'I -4 2bw'
_cell_length_a 6.233
_cell_length_b 6.233
_cell_length_c 11.340
_cell_angle_alpha 90.00
_cell_angle_beta 90.00
_cell_angle_gamma 90.00
loop_
_atom_site_label
_atom_site_type_symbol
_atom_site_fract_x
_atom_site_fract_y
_atom_site_fract_z
Mg1 Mg 0.000 0.000 0.000
Si1 Si 0.245 0.250 0.625
Sb1 Sb 0.000 0.000 0.500

***

Model 2:
# MgSi2Sb | the Alexandria database | GGA-PBEsol | relaxed
# magnetic moment: 0.00 Bohr magnetons per cell
data_MgSi2Sb
_chemical_formula_sum 'Mg1 Si2 Sb1'
_symmetry_space_group_name_H-M 'P m m m'
_symmetry_Int_Tables_number 47
_symmetry_space_group_name_Hall '-P 2 2'
_cell_length_a 2.898
_cell_length_b 4.137
_cell_length_c 6.567
_cell_angle_alpha 90.00
_cell_angle_beta 90.00
_cell_angle_gamma 90.00
loop_
_atom_site_label
_atom_site_type_symbol
_atom_site_fract_x
_atom_site_fract_y
_atom_site_fract_z
Mg1 Mg 0.000 0.000 0.000
Si1 Si 0.500 0.500 0.196
Sb1 Sb 0.500 0.000 0.500

***

Model 3:
# MgSi2Sb | the Alexandria database | GGA-PBEsol | relaxed
# magnetic moment: 0.00 Bohr magnetons per cell
data_MgSi2Sb
_chemical_formula_sum 'Mg4 Si8 Sb4'
_symmetry_space_group_name_H-M 'F m m m'
_symmetry_Int_Tables_number 69
_symmetry_space_group_name_Hall '-F 2 2'
_cell_length_a 5.507
_cell_length_b 5.667
_cell_length_c 10.091
_cell_angle_alpha 90.00
_cell_angle_beta 90.00
_cell_angle_gamma 90.00
loop_
_atom_site_label
_atom_site_type_symbol
_atom_site_fract_x
_atom_site_fract_y
_atom_site_fract_z
Mg1 Mg 0.000 0.000 0.000
Si1 Si 0.000 0.250 0.250
Sb1 Sb 0.000 0.000 0.500

***

Most stable = model 2

***

Model 1:
# Sr2MgSb | the Alexandria database | GGA-PBEsol | relaxed
# magnetic moment: 0.39 Bohr magnetons per cell
data_Sr2MgSb
_chemical_formula_sum 'Sr4 Mg2 Sb2'
_symmetry_space_group_name_H-M 'I -4 m 2'
_symmetry_Int_Tables_number 119
_symmetry_space_group_name_Hall 'I -4 -2'
_cell_length_a 4.801
_cell_length_b 4.801
_cell_length_c 11.325
_cell_angle_alpha 90.00
_cell_angle_beta 90.00
_cell_angle_gamma 90.00
loop_
_atom_site_label
_atom_site_type_symbol
_atom_site_fract_x
_atom_site_fract_y
_atom_site_fract_z
Sr1 Sr 0.000 0.000 0.000
Sr2 Sr 0.000 0.500 0.250
Mg1 Mg 0.000 0.000 0.500
Sb1 Sb 0.000 0.500 0.750

***

Model 2:
# Sr2MgSb | the Alexandria database | GGA-PBEsol | relaxed
# magnetic moment: 0.00 Bohr magnetons per cell
data_Sr2MgSb
_chemical_formula_sum 'Sr4 Mg2 Sb2'
_symmetry_space_group_name_H-M 'A m m 2'
_symmetry_Int_Tables_number 38
_symmetry_space_group_name_Hall 'A 2 -2'
_cell_length_a 4.662
_cell_length_b 4.772
_cell_length_c 12.482
_cell_angle_alpha 90.00
_cell_angle_beta 90.00
_cell_angle_gamma 90.00
loop_
_atom_site_label
_atom_site_type_symbol
_atom_site_fract_x
_atom_site_fract_y
_atom_site_fract_z
Sr1 Sr 0.000 0.000 0.000
Sr2 Sr 0.500 0.000 0.285
Mg1 Mg 0.000 0.000 0.711
Sb1 Sb 0.500 0.000 0.564

***

Most stable = model 2